#1
{"formula": "PuThAs", "functional": "PBE", "state": "relaxed", "cell": [[4.8503, 0.0000, 0.0000], [-2.4251, 4.2005, 0.0000], [0.0000, 0.0000, 3.8054]], "species": ["Pu", "Th", "As"], "frac_coords": [[0.0000, 0.0000, 0.0000], [0.3333, 0.6667, 0.4859], [0.6667, 0.3333, 0.9450]], "spacegroup": "P3m1, No. 156", "m_tot_mub_per_fu": 6.6}

#2
{"formula": "PuThAs", "functional": "PBE", "state": "relaxed", "cell": [[-1.9672, 1.9672, 4.7703], [1.9672, -1.9672, 4.7703], [1.9672, 1.9672, -4.7703]], "species": ["Pu", "Th", "As"], "frac_coords": [[0.0000, 0.0000, 0.0000], [0.3000, 0.3000, 0.0000], [0.6415, 0.6415, 0.0000]], "spacegroup": "I4mm, No. 107", "m_tot_mub_per_fu": 6.3}

Quick one: most stable of them? #2

#1
{"formula": "TmPu3As4", "functional": "PBE", "state": "relaxed", "cell": [[5.8194, 0.0000, 0.0000], [0.0000, 5.8194, 0.0000], [0.0000, 0.0000, 5.8194]], "species": ["Tm", "Pu", "Pu", "Pu", "As", "As", "As", "As"], "frac_coords": [[0.0000, 0.0000, 0.0000], [0.0000, 0.5000, 0.5000], [0.5000, 0.0000, 0.5000], [0.5000, 0.5000, 0.0000], [0.0000, 0.0000, 0.5000], [0.0000, 0.5000, 0.0000], [0.5000, 0.0000, 0.0000], [0.5000, 0.5000, 0.5000]], "spacegroup": "Pm-3m, No. 221", "m_tot_mub_per_fu": 14.9}

#2
{"formula": "TmPu3As4", "functional": "PBE", "state": "relaxed", "cell": [[4.1133, -5.8188, 0.0000], [4.1133, 5.8188, 0.0000], [0.0000, 0.0000, 4.1208]], "species": ["Tm", "Pu", "Pu", "Pu", "As", "As", "As", "As"], "frac_coords": [[0.0000, 0.0000, 0.0000], [0.0000, 0.5000, 0.5000], [0.5000, 0.0000, 0.5000], [0.5000, 0.5000, 0.0000], [0.2490, 0.2490, 0.5000], [0.2493, 0.7507, 0.0000], [0.7507, 0.2493, 0.0000], [0.7510, 0.7510, 0.5000]], "spacegroup": "Cmmm, No. 65", "m_tot_mub_per_fu": 14.9}

Quick one: most stable of them? #2

#1
{"formula": "PuUAs2", "functional": "PBE", "state": "relaxed", "cell": [[4.9589, 0.0000, 0.0000], [0.0000, 4.9589, 0.0000], [0.0000, 0.0000, 3.5221]], "species": ["Pu", "U", "As", "As"], "frac_coords": [[0.0000, 0.0000, 0.0000], [0.5000, 0.5000, 0.0000], [0.0000, 0.5000, 0.5000], [0.5000, 0.0000, 0.5000]], "spacegroup": "P4/mmm, No. 123", "m_tot_mub_per_fu": 7.9}

#2
{"formula": "PuUAs2", "functional": "PBE", "state": "relaxed", "cell": [[0.0000, 3.5082, 3.5082], [3.5082, 0.0000, 3.5082], [3.5082, 3.5082, 0.0000]], "species": ["Pu", "U", "As", "As"], "frac_coords": [[0.0000, 0.0000, 0.0000], [0.5000, 0.5000, 0.5000], [0.2500, 0.2500, 0.2500], [0.7500, 0.7500, 0.7500]], "spacegroup": "Fm-3m, No. 225", "m_tot_mub_per_fu": 7.9}

Quick one: most stable of them? #2

#1
{"formula": "PuUAs2", "functional": "PBE", "state": "relaxed", "cell": [[2.0344, 1.1745, 6.8319], [-2.0344, 1.1745, 6.8319], [0.0000, -2.3491, 6.8319]], "species": ["Pu", "U", "As", "As"], "frac_coords": [[0.0000, 0.0000, 0.0000], [0.5000, 0.5000, 0.5000], [0.2486, 0.2486, 0.2486], [0.7514, 0.7514, 0.7514]], "spacegroup": "R-3m, No. 166", "m_tot_mub_per_fu": 3.2}

#2
{"formula": "PuUAs2", "functional": "PBE", "state": "relaxed", "cell": [[-2.9016, 2.9016, 5.8018], [2.9016, -2.9016, 5.8018], [2.9016, 2.9016, -5.8018]], "species": ["Pu", "Pu", "U", "U", "As", "As", "As", "As"], "frac_coords": [[0.3750, 0.6250, 0.7500], [0.6250, 0.3750, 0.2500], [0.1250, 0.8750, 0.2500], [0.8750, 0.1250, 0.7500], [0.1232, 0.3732, 0.7500], [0.3732, 0.1232, 0.2500], [0.6268, 0.8768, 0.7500], [0.8768, 0.6268, 0.2500]], "spacegroup": "I4_1/amd, No. 141", "m_tot_mub_per_fu": 3.0}

Quick one: most stable of them? #1